The following is a DFT calculation (PBE) of a relaxed structure of Tb2PdPt.

a = 5.008 Å, b = 5.008 Å, c = 3.456 Å
α = 90.00°, β = 90.00°, γ = 90.00°
Sites, in units of the cell vectors:
Tb 0.000 0.500 0.000
Tb 0.500 0.000 0.000
Pd 0.000 0.000 0.500
Pt 0.500 0.500 0.500

DOS at the Fermi energy = 0.604 states/eV/atom
formation energy = -1.05 eV/atom


The following is a DFT calculation (PBE) of a relaxed structure of La4SnIr2.

a = 7.214 Å, b = 7.214 Å, c = 14.125 Å
α = 90.00°, β = 90.00°, γ = 144.26°
Sites, in units of the cell vectors:
La 0.000 0.000 0.000
La 0.000 0.000 0.500
La 0.271 0.729 0.609
La 0.271 0.729 0.891
La 0.442 0.558 0.250
La 0.558 0.442 0.750
La 0.729 0.271 0.109
La 0.729 0.271 0.391
Sn 0.115 0.885 0.250
Sn 0.885 0.115 0.750
Ir 0.370 0.630 0.063
Ir 0.370 0.630 0.437
Ir 0.630 0.370 0.563
Ir 0.630 0.370 0.937

distance to the lowest polymorph of the same formula = 0.00 eV per formula unit
DOS at the Fermi energy = 0.673 states/eV/atom
formation energy = -0.71 eV/atom


The following is a DFT calculation (PBE) of a relaxed structure of Sm2CuTc.

a = 3.202 Å, b = 3.202 Å, c = 30.518 Å
α = 90.00°, β = 90.00°, γ = 120.00°
Sites, in units of the cell vectors:
Sm 0.000 0.000 0.089
Sm 0.000 0.000 0.911
Sm 0.333 0.667 0.578
Sm 0.333 0.667 0.755
Sm 0.667 0.333 0.245
Sm 0.667 0.333 0.422
Cu 0.000 0.000 0.500
Cu 0.333 0.667 0.167
Cu 0.667 0.333 0.833
Tc 0.000 0.000 0.000
Tc 0.333 0.667 0.667
Tc 0.667 0.333 0.333

DOS at the Fermi energy = 0.987 states/eV/atom
formation energy = 0.71 eV/atom


The following is a DFT calculation (PBE) of a relaxed structure of ThZrFe2H6.

a = 6.002 Å, b = 6.002 Å, c = 6.002 Å
α = 43.38°, β = 43.38°, γ = 43.38°
Sites, in units of the cell vectors:
Th 0.000 0.000 0.000
Zr 0.500 0.500 0.500
Fe 0.213 0.213 0.213
Fe 0.787 0.787 0.787
H 0.068 0.559 0.559
H 0.441 0.441 0.932
H 0.441 0.932 0.441
H 0.559 0.068 0.559
H 0.559 0.559 0.068
H 0.932 0.441 0.441

energy = -5.6844 eV per atom